Entry 1:
Below is a relaxed ReRh crystal, with properties calculated at the GGA-PBE level.

Properties
**Total magnetic moment**: 0.00 μB per cell
**Offset from the most stable computed form**: 7.15 kcal/mol of atoms
**Energy relative to the elements**: 0.133 eV/atom

```
data_ReRh
_chemical_formula_sum 'Re3 Rh3'
_space_group_name_H-M_alt 'P -6 m 2'
_space_group_IT_number 187
_space_group_name_Hall 'P -6 2'
_cell_length_a 4.3716
_cell_length_b 4.3716
_cell_length_c 5.4039
_cell_angle_alpha 90.00
_cell_angle_beta 90.00
_cell_angle_gamma 120.00
loop_
_atom_site_label
_atom_site_type_symbol
_atom_site_fract_x
_atom_site_fract_y
_atom_site_fract_z
Re1 Re 0.0000 0.0000 0.0000
Re2 Re 0.0000 0.0000 0.5000
Re3 Re 0.6667 0.3333 0.0000
Rh1 Rh 0.3333 0.6667 0.2465
Rh2 Rh 0.6667 0.3333 0.5000
```

***

Entry 2:
Below is a relaxed TbHo6Ga3 crystal, with properties calculated at the GGA-PBE level.

Properties
**Total magnetic moment**: 0.00 μB per cell
**Energy relative to the elements**: -0.305 eV/atom

```
data_TbHo6Ga3
_chemical_formula_sum 'Tb4 Ho24 Ga12'
_space_group_name_H-M_alt 'C m c 21'
_space_group_IT_number 36
_space_group_name_Hall 'C 2c -2'
_cell_length_a 10.6799
_cell_length_b 12.7099
_cell_length_c 8.1705
_cell_angle_alpha 90.00
_cell_angle_beta 90.00
_cell_angle_gamma 90.00
loop_
_atom_site_label
_atom_site_type_symbol
_atom_site_fract_x
_atom_site_fract_y
_atom_site_fract_z
Tb1 Tb 0.0000 0.1638 0.0000
Ho1 Ho 0.0000 0.2759 0.4863
Ho2 Ho 0.0000 0.4635 0.1554
Ho3 Ho 0.1662 0.0659 0.6379
Ho4 Ho 0.2333 0.3211 0.7796
Ga1 Ga 0.0000 0.0713 0.3347
Ga2 Ga 0.2002 0.4188 0.4407
```

***

Entry 3:
Below is a relaxed TlSb2Pb6 crystal, with properties calculated at the GGA-PBE level.

Properties
**Total magnetic moment**: 0.00 μB per cell
**Offset from the most stable computed form**: 0.00 kcal/mol of atoms
**Energy relative to the elements, uncorrected**: 0.04 eV per atom

```
data_TlSb2Pb6
_chemical_formula_sum 'Tl1 Sb2 Pb6'
_space_group_name_H-M_alt 'P 4/m m m'
_space_group_IT_number 123
_space_group_name_Hall '-P 4 2'
_cell_length_a 4.9547
_cell_length_b 4.9547
_cell_length_c 12.2816
_cell_angle_alpha 90.00
_cell_angle_beta 90.00
_cell_angle_gamma 90.00
loop_
_atom_site_label
_atom_site_type_symbol
_atom_site_fract_x
_atom_site_fract_y
_atom_site_fract_z
Tl1 Tl 0.0000 0.0000 0.0000
Sb1 Sb 0.5000 0.5000 0.1179
Pb1 Pb 0.0000 0.0000 0.5000
Pb2 Pb 0.0000 0.5000 0.2894
Pb3 Pb 0.5000 0.5000 0.5000
```

***

Entry 4:
Below is a relaxed La2ErMgSe5 crystal, with properties calculated at the GGA-PBE level.

Properties
**Total magnetic moment**: 0.00 μB per cell
**Energy relative to the elements, uncorrected**: -1.79 eV per atom

```
data_La2ErMgSe5
_chemical_formula_sum 'La8 Er4 Mg4 Se20'
_space_group_name_H-M_alt 'C m c 21'
_space_group_IT_number 36
_space_group_name_Hall 'C 2c -2'
_cell_length_a 4.1487
_cell_length_b 17.5685
_cell_length_c 12.7756
_cell_angle_alpha 90.00
_cell_angle_beta 90.00
_cell_angle_gamma 90.00
loop_
_atom_site_label
_atom_site_type_symbol
_atom_site_fract_x
_atom_site_fract_y
_atom_site_fract_z
La1 La 0.0000 0.1112 0.0000
La2 La 0.0000 0.1355 0.6200
Er1 Er 0.0000 0.2056 0.3266
Mg1 Mg 0.0000 0.4631 0.7712
Se1 Se 0.0000 0.0504 0.3807
Se2 Se 0.0000 0.2843 0.9800
Se3 Se 0.0000 0.3150 0.6740
Se4 Se 0.0000 0.3655 0.3145
Se5 Se 0.0000 0.4928 0.0854
```

***

Entry 5:
Below is a relaxed Ag2PtI crystal, with properties calculated at the GGA-PBE level.

Properties
**Total magnetic moment**: 0.00 μB per cell
**Offset from the most stable computed form**: 0.00 kcal/mol of atoms
**Energy relative to the elements, uncorrected**: 0.36 eV per atom

```
data_Ag2PtI
_chemical_formula_sum 'Ag8 Pt4 I4'
_space_group_name_H-M_alt 'I -4 2 d'
_space_group_IT_number 122
_space_group_name_Hall 'I -4 2bw'
_cell_length_a 8.0122
_cell_length_b 8.0122
_cell_length_c 5.5795
_cell_angle_alpha 90.00
_cell_angle_beta 90.00
_cell_angle_gamma 90.00
loop_
_atom_site_label
_atom_site_type_symbol
_atom_site_fract_x
_atom_site_fract_y
_atom_site_fract_z
Ag1 Ag 0.2224 0.2500 0.1250
Pt1 Pt 0.0000 0.0000 0.0000
I1 I 0.0000 0.0000 0.5000
```

***

Entry 6:
Below is a relaxed AlRe2Hg crystal, with properties calculated at the GGA-PBE level.

Properties
**Total magnetic moment**: 0.00 μB per cell
**Offset from the most stable computed form**: 8.72 kcal/mol of atoms
**Energy relative to the elements**: 0.532 eV/atom

```
data_AlRe2Hg
_chemical_formula_sum 'Al1 Re2 Hg1'
_space_group_name_H-M_alt 'P 4/m m m'
_space_group_IT_number 123
_space_group_name_Hall '-P 4 2'
_cell_length_a 3.2704
_cell_length_b 3.2704
_cell_length_c 6.2579
_cell_angle_alpha 90.00
_cell_angle_beta 90.00
_cell_angle_gamma 90.00
loop_
_atom_site_label
_atom_site_type_symbol
_atom_site_fract_x
_atom_site_fract_y
_atom_site_fract_z
Al1 Al 0.0000 0.0000 0.0000
Re1 Re 0.5000 0.5000 0.1932
Hg1 Hg 0.0000 0.0000 0.5000
```

***

Entry 7:
Below is a relaxed NaMgB2F8 crystal, with properties calculated at the GGA-PBE level.

Properties
**Total magnetic moment**: 1.13 μB per cell
**Energy relative to the elements, uncorrected**: -2.67 eV per atom

```
data_NaMgB2F8
_chemical_formula_sum 'Na3 Mg3 B6 F24'
_space_group_name_H-M_alt 'R -3'
_space_group_IT_number 148
_space_group_name_Hall '-R 3'
_cell_length_a 4.7674
_cell_length_b 4.7674
_cell_length_c 23.8859
_cell_angle_alpha 90.00
_cell_angle_beta 90.00
_cell_angle_gamma 120.00
loop_
_atom_site_label
_atom_site_type_symbol
_atom_site_fract_x
_atom_site_fract_y
_atom_site_fract_z
Na1 Na 0.0000 0.0000 0.0000
Mg1 Mg 0.0000 0.0000 0.5000
B1 B 0.0000 0.0000 0.2575
F1 F 0.0000 0.0000 0.3168
F2 F 0.9997 0.2826 0.2384
```

***

Entry 8:
Below is a relaxed NdSm4Sc3 crystal, with properties calculated at the GGA-PBE level.

Properties
**Total magnetic moment**: 0.00 μB per cell
**Offset from the most stable computed form**: 0.07 kcal/mol of atoms
**Energy relative to the elements**: 0.056 eV/atom

```
data_NdSm4Sc3
_chemical_formula_sum 'Nd2 Sm8 Sc6'
_space_group_name_H-M_alt 'P m n 21'
_space_group_IT_number 31
_space_group_name_Hall 'P 2ac -2'
_cell_length_a 11.1624
_cell_length_b 7.1474
_cell_length_c 6.1117
_cell_angle_alpha 90.00
_cell_angle_beta 90.00
_cell_angle_gamma 90.00
loop_
_atom_site_label
_atom_site_type_symbol
_atom_site_fract_x
_atom_site_fract_y
_atom_site_fract_z
Nd1 Nd 0.0000 0.1173 0.0000
Sm1 Sm 0.0000 0.3660 0.4958
Sm2 Sm 0.0000 0.6365 0.9799
Sm3 Sm 0.2428 0.6330 0.3358
Sc1 Sc 0.0000 0.8840 0.4982
Sc2 Sc 0.2488 0.1151 0.3278
```

***

Entry 9:
Below is a relaxed CaTb2Hg2 crystal, with properties calculated at the GGA-PBE level.

Properties
**Total magnetic moment**: 0.00 μB per cell
**Energy relative to the elements**: -0.405 eV/atom

```
data_CaTb2Hg2
_chemical_formula_sum 'Ca2 Tb4 Hg4'
_space_group_name_H-M_alt 'P 1 21/m 1'
_space_group_IT_number 11
_space_group_name_Hall '-P 2yb'
_cell_length_a 3.7390
_cell_length_b 5.3894
_cell_length_c 13.9734
_cell_angle_alpha 90.00
_cell_angle_beta 97.66
_cell_angle_gamma 90.00
loop_
_atom_site_label
_atom_site_type_symbol
_atom_site_fract_x
_atom_site_fract_y
_atom_site_fract_z
Ca1 Ca 0.1440 0.2500 0.2874
Tb1 Tb 0.0489 0.7500 0.0963
Tb2 Tb 0.2331 0.7500 0.4665
Hg1 Hg 0.3565 0.2500 0.7136
Hg2 Hg 0.4543 0.7500 0.9106
```

***

Entry 10:
Below is a relaxed MnZn4P crystal, with properties calculated at the GGA-PBE level.

Properties
**Total magnetic moment**: 13.42 μB per cell
**Energy relative to the elements**: 0.310 eV/atom

```
data_MnZn4P
_chemical_formula_sum 'Mn4 Zn16 P4'
_space_group_name_H-M_alt 'F -4 3 m'
_space_group_IT_number 216
_space_group_name_Hall 'F -4 2 3'
_cell_length_a 7.1681
_cell_length_b 7.1681
_cell_length_c 7.1681
_cell_angle_alpha 90.00
_cell_angle_beta 90.00
_cell_angle_gamma 90.00
loop_
_atom_site_label
_atom_site_type_symbol
_atom_site_fract_x
_atom_site_fract_y
_atom_site_fract_z
Mn1 Mn 0.0000 0.0000 0.0000
Zn1 Zn 0.1255 0.1255 0.3745
P1 P 0.2500 0.2500 0.7500
```

***

Entry 11:
Below is a relaxed AcLaIn crystal, with properties calculated at the GGA-PBE level.

Properties
**Total magnetic moment**: 0.00 μB per cell
**Offset from the most stable computed form**: 0.00 kcal/mol of atoms
**Energy relative to the elements**: -0.276 eV/atom

```
data_AcLaIn
_chemical_formula_sum 'Ac2 La2 In2'
_space_group_name_H-M_alt 'I 4 m m'
_space_group_IT_number 107
_space_group_name_Hall 'I 4 -2'
_cell_length_a 4.1993
_cell_length_b 4.1993
_cell_length_c 11.8618
_cell_angle_alpha 90.00
_cell_angle_beta 90.00
_cell_angle_gamma 90.00
loop_
_atom_site_label
_atom_site_type_symbol
_atom_site_fract_x
_atom_site_fract_y
_atom_site_fract_z
Ac1 Ac 0.0000 0.0000 0.0000
La1 La 0.0000 0.0000 0.6987
In1 In 0.0000 0.0000 0.3399
```

***

Entry 12:
Below is a relaxed AlCdGa2Se6 crystal, with properties calculated at the GGA-PBE level.

Properties
**Total magnetic moment**: 0.00 μB per cell
**Energy relative to the elements, uncorrected**: -0.51 eV per atom

```
data_AlCdGa2Se6
_chemical_formula_sum 'Al4 Cd4 Ga8 Se24'
_space_group_name_H-M_alt 'C 1 2/c 1'
_space_group_IT_number 15
_space_group_name_Hall '-C 2yc'
_cell_length_a 13.2418
_cell_length_b 13.2903
_cell_length_c 6.9684
_cell_angle_alpha 90.00
_cell_angle_beta 115.70
_cell_angle_gamma 90.00
loop_
_atom_site_label
_atom_site_type_symbol
_atom_site_fract_x
_atom_site_fract_y
_atom_site_fract_z
Al1 Al 0.0000 0.1729 0.2500
Cd1 Cd 0.0000 0.1768 0.7500
Ga1 Ga 0.1855 0.4159 0.6894
Se1 Se 0.1069 0.4419 0.9480
Se2 Se 0.1113 0.0685 0.1217
Se3 Se 0.1387 0.2387 0.5874
```

***

Calculated N(E_F) in order - 0.687; 1.128; 0.361; 0.260; 0.632; 0.691; 0.112; 1.784; 0.700; 0.703; 1.506; 0.214 states/eV per atom